(1)
A plane-wave DFT calculation with PBE-GGA was carried out for a geometry-optimized Ac7Te4P4 structure.

Structure (CIF):
```
data_Ac7Te4P4
_space_group_name_H-M_alt 'I 4/m m m'
_space_group_IT_number 139
_space_group_name_Hall '-I 4 2'
_cell_length_a 16.0454
_cell_length_b 16.0454
_cell_length_c 7.8951
_cell_angle_alpha 90.00
_cell_angle_beta 90.00
_cell_angle_gamma 90.00
loop_
_atom_site_label
_atom_site_fract_x
_atom_site_fract_y
_atom_site_fract_z
_atom_site_occupancy
Ac1 0.0000 0.0000 0.2444 1
Ac2 0.0000 0.2843 0.0000 1
Ac3 0.0000 0.3671 0.5000 1
Ac4 0.2125 0.2125 0.5000 1
Te1 0.0000 0.1690 0.5000 1
Te2 0.1273 0.1273 0.0000 1
P1 0.1448 0.3552 0.2500 1
```

Results
Raw formation energy   -1384 meV/atom

---

(2)
A plane-wave DFT calculation with PBE-GGA was carried out for a geometry-optimized Sm2Ag3Hg2 structure.

Structure (CIF):
```
data_Sm2Ag3Hg2
_space_group_name_H-M_alt 'C 1 2/m 1'
_space_group_IT_number 12
_space_group_name_Hall '-C 2y'
_cell_length_a 11.1299
_cell_length_b 3.9520
_cell_length_c 7.5372
_cell_angle_alpha 90.00
_cell_angle_beta 91.83
_cell_angle_gamma 90.00
loop_
_atom_site_label
_atom_site_fract_x
_atom_site_fract_y
_atom_site_fract_z
_atom_site_occupancy
Sm1 0.1183 0.0000 0.2973 1
Ag1 0.0000 0.5000 0.0000 1
Ag2 0.1868 0.0000 0.8918 1
Hg1 0.1067 0.5000 0.6331 1
```

Results
Energy of formation from the pure elements   -0.24 eV per atom

---

no.,VASP energy (eV/atom),size of the total moment (μB per cell)
1,-5.58,2.9
2,-2.89,0.0